No. 1
First-principles (PBE) data for a relaxed structure of Sm2Dy7Y, as listed in the Alexandria database.

Its magnetic moment is 0.000 μB per atom. The density is 7.9 g/cm³. The value obtained for the density of states at the Fermi level is 14.5 states/eV/cell. As for the crystal system: triclinic. Its formation enthalpy at 0 K is 0.0178 eV/atom.

Cell: 6.168 10.677 7.966 Å, 107.36 75.02 140.28°
Fractional coordinates of all 10 atoms:
Dy  0.101  0.301  0.400
Dy  0.801  0.400  0.199
Dy  0.899  0.699  0.600
Dy  0.199  0.600  0.801
Dy  0.299  0.899  0.200
Dy  0.701  0.101  0.800
Dy  0.500  0.500  0.000
Y  0.000  0.000  0.000
Sm  0.598  0.799  0.401
Sm  0.402  0.201  0.599

No. 2
First-principles (PBE) data for a relaxed structure of Sr2TcAu, as listed in the Alexandria database.

Its magnetic moment is 0.562 μB per atom. The density is 7.3 g/cm³. The value obtained for the density of states at the Fermi level is 5.6 states/eV/cell. As for the crystal system: tetragonal. Its formation enthalpy at 0 K is 0.4468 eV/atom.

Cell: 6.125 6.125 6.125 Å, 136.69 136.69 62.91°
Site moments in Bohr magnetons follow the coordinates.
Fractional coordinates of all 4 atoms:
Sr  0.000  0.000  0.000  -0.03
Sr  0.250  0.750  0.500  -0.02
Tc  0.500  0.500  0.000  2.09
Au  0.750  0.250  0.500  0.01

No. 3
First-principles (PBE) data for a relaxed structure of NiRh2, as listed in the Alexandria database.

Its magnetic moment is 0.182 μB per atom. The density is 10.8 g/cm³. The value obtained for the density of states at the Fermi level is 10.3 states/eV/cell. As for the crystal system: orthorhombic. Its formation enthalpy at 0 K is 0.2085 eV/atom.

Cell: 6.915 6.915 4.486 Å, 90.00 90.00 157.69°
Site moments in Bohr magnetons follow the coordinates.
Fractional coordinates of all 6 atoms:
Ni  0.170  0.830  0.000  0.36
Ni  0.830  0.170  0.000  0.36
Rh  0.500  0.500  0.000  0.11
Rh  0.667  0.333  0.500  0.09
Rh  0.333  0.667  0.500  0.09
Rh  0.000  0.000  0.500  0.09

These records have V values of 31.96 26.69 13.57 A^3/atom, in the order they appear.
These records have relative energy among the computed polymorphs values of 0 279 169 meV/atom, in the order they appear.